20
Lattice="6.199 0.000 0.000 3.100 5.369 0.000 3.100 1.790 11.783" Properties=species:S:1:pos:R:3 comment="GGA+U AcTl2MoO6, optimized geometry" mass_density_g_cm3=7.010 dos_ef_per_ev_cell=8.00 total_energy_ev_per_atom=-6.181 total_magnetization_mub_per_cell=0.00 pbc="T T T"
O 7.889 2.603 10.677
O 4.509 4.555 1.106
O 4.867 2.810 4.691
O 7.532 2.810 4.691
O 6.199 2.041 7.092
O 4.867 4.348 7.092
O 7.532 4.348 7.092
O 6.199 5.531 10.677
O 7.889 4.555 1.106
O 4.509 2.603 10.677
O 6.199 5.118 4.691
O 6.199 1.628 1.106
Ac 6.199 3.579 2.506
Ac 6.199 3.579 9.277
Tl 3.100 1.790 0.994
Tl 9.299 5.369 6.157
Tl 3.100 1.790 5.626
Tl 9.299 5.369 10.789
Mo 6.199 3.579 5.892
Mo 0.000 0.000 0.000